Entry from Alexandria: a geometry-optimized Li2NiH5 structure (PBE).

Properties
Total energy in eV per atom: -3.39
V in Å³ per atom: 9.2
Total magnetic moment in μB per cell: 0.0
Space-group type: Fmmm, No. 69

a = 3.5850 Å, b = 4.8146 Å, c = 4.9331 Å
α = 82.23°, β = 68.69°, γ = 68.14°
Last column: nearest neighbours and their distance in Å.
Positions (direct):
1 Li 0.8201 0.5000 0.8598  1 H 1.65
2 Li 0.1799 0.5000 0.1402  1 H 1.65
3 Ni 0.5000 0.5000 0.5000  4 H 1.53
4 H 0.2606 0.7392 0.7396  1 Ni 1.53
5 H 0.5002 0.7392 0.2604  1 Ni 1.53
6 H 0.0000 0.5000 0.5000  2 Li 1.65, 2 Ni 1.79
7 H 0.7394 0.2608 0.2604  1 Ni 1.53
8 H 0.4998 0.2608 0.7396  1 Ni 1.53